[1]
# MoP2W PBE optimized geometry
data_MoP2W
_chemical_formula_sum 'Mo1 P2 W1'
_cell_length_a 3.038
_cell_length_b 3.135
_cell_length_c 6.344
_cell_angle_alpha 90.00
_cell_angle_beta 90.21
_cell_angle_gamma 90.00
_space_group_name_H-M_alt 'P 1'
_space_group_IT_number 1
loop_
_space_group_symop_operation_xyz
'x,y,z'
loop_
_atom_site_label
_atom_site_type_symbol
_atom_site_fract_x
_atom_site_fract_y
_atom_site_fract_z
_atom_site_occupancy
Mo1 Mo 0.000 0.000 0.000 1
P1 P 0.498 0.500 0.790 1
P2 P 0.502 0.500 0.210 1
W1 W 0.500 0.000 0.500 1
# space-group type	P2/m, No. 10

=====

[2]
# MoPW2 PBE optimized geometry
data_MoPW2
_chemical_formula_sum 'Mo1 P1 W2'
_cell_length_a 2.835
_cell_length_b 2.835
_cell_length_c 8.067
_cell_angle_alpha 90.00
_cell_angle_beta 90.00
_cell_angle_gamma 109.99
_space_group_name_H-M_alt 'P 1'
_space_group_IT_number 1
loop_
_space_group_symop_operation_xyz
'x,y,z'
loop_
_atom_site_label
_atom_site_type_symbol
_atom_site_fract_x
_atom_site_fract_y
_atom_site_fract_z
_atom_site_occupancy
Mo1 Mo 0.000 0.000 0.000 1
P1 P 0.000 0.000 0.500 1
W1 W 0.500 0.500 0.271 1
W2 W 0.500 0.500 0.729 1
# space-group type	Cmmm, No. 65

=====

[3]
# MoP2W PBE optimized geometry
data_MoP2W
_chemical_formula_sum 'Mo1 P2 W1'
_cell_length_a 4.103
_cell_length_b 4.103
_cell_length_c 5.186
_cell_angle_alpha 102.13
_cell_angle_beta 102.13
_cell_angle_gamma 42.84
_space_group_name_H-M_alt 'P 1'
_space_group_IT_number 1
loop_
_space_group_symop_operation_xyz
'x,y,z'
loop_
_atom_site_label
_atom_site_type_symbol
_atom_site_fract_x
_atom_site_fract_y
_atom_site_fract_z
_atom_site_occupancy
Mo1 Mo 0.000 0.000 0.000 1
P1 P 0.250 0.250 0.749 1
P2 P 0.750 0.750 0.251 1
W1 W 0.500 0.500 0.500 1
# space-group type	C2/m, No. 12

=====

[4]
# MoPW2 PBE optimized geometry
data_MoPW2
_chemical_formula_sum 'Mo1 P1 W2'
_cell_length_a 2.834
_cell_length_b 2.834
_cell_length_c 8.065
_cell_angle_alpha 90.00
_cell_angle_beta 90.00
_cell_angle_gamma 109.92
_space_group_name_H-M_alt 'P 1'
_space_group_IT_number 1
loop_
_space_group_symop_operation_xyz
'x,y,z'
loop_
_atom_site_label
_atom_site_type_symbol
_atom_site_fract_x
_atom_site_fract_y
_atom_site_fract_z
_atom_site_occupancy
Mo1 Mo 0.000 0.000 0.000 1
P1 P 0.500 0.500 0.226 1
W1 W 0.000 0.000 0.456 1
W2 W 0.500 0.500 0.728 1
# space-group type	Cmm2, No. 35

=====

For the records above, the corresponding calculated formation energy values read 0.017, 0.181, -0.019, 0.127 eV per atom.